Record 1
Entry from Alexandria: an optimized crystal structure of LiSiPt2Pb (GGA-PBE).

```
LiSiPt2Pb
1.0
-4.295 2.792 0.699
-2.865 -4.292 -0.455
0.334 -0.763 5.102
Pb Si Pt Li
1 1 2 1
direct
0.000 0.000 0.000
0.000 0.500 0.000
0.000 0.000 0.500
0.500 0.000 0.000
0.500 0.500 0.500
```

Results
SG	P4/mmm (123)
formation energy without anion corrections	0.9399	eV per atom

Record 2
Entry from Alexandria: an optimized crystal structure of Sr2LiPtPb (GGA-PBE).

```
Sr2LiPtPb
1.0
-3.752 -2.165 -4.011
3.571 -4.624 -0.845
-2.255 -2.360 3.383
Pb Sr Pt Li
1 2 1 1
direct
0.500 0.500 0.500
0.000 0.500 0.000
0.500 0.000 0.000
0.000 0.000 0.000
0.000 0.000 0.500
```

Results
SG	P4/mmm (123)

Record 3
Entry from Alexandria: an optimized crystal structure of SrLiPtPb (GGA-PBE).

```
SrLiPtPb
1.0
4.801 0.000 0.000
-2.401 4.162 0.003
0.000 -2.764 5.148
Sr Li Pt Pb
1 1 1 1
direct
0.622 0.245 0.509
0.818 0.636 0.095
0.422 0.844 0.909
0.104 0.208 0.954
```

Results
SG	Cm (8)

Record 4
Entry from Alexandria: an optimized crystal structure of LiTbPtPb (GGA-PBE).

```
LiTbPtPb
1.0
4.838 0.000 0.000
2.419 4.190 0.000
2.419 1.397 3.951
Pb Tb Pt Li
1 1 1 1
direct
0.500 0.500 0.500
0.000 0.000 0.000
0.750 0.750 0.750
0.250 0.250 0.250
```

Results
SG	F-43m (216)

Record 5
Entry from Alexandria: an optimized crystal structure of LiThPtPb (GGA-PBE).

```
LiThPtPb
1.0
4.988 0.000 0.000
2.494 4.319 0.000
2.494 1.440 4.072
Pb Pt Th Li
1 1 1 1
direct
0.500 0.500 0.500
0.750 0.750 0.750
0.000 0.000 0.000
0.250 0.250 0.250
```

Results
SG	F-43m (216)

Record 6
Entry from Alexandria: an optimized crystal structure of LiTlPtPb (GGA-PBE).

```
LiTlPtPb
1.0
-0.858 -2.874 3.858
1.069 -4.764 -0.216
3.736 -1.786 2.595
Pb Tl Pt Li
1 1 1 1
direct
0.250 0.250 0.250
0.750 0.750 0.750
0.500 0.500 0.500
0.000 0.000 0.000
```

Results
SG	F-43m (216)

What did we get for electronic total energy? Answer: -18.427 -17.244 -15.525 -19.250 -21.267 -14.812 eV per cell, in the order shown.